Computed, not measured: a geometry-optimized Ac2HgPd5 structure at the PBE level of DFT.

```
data_Ac2HgPd5
_space_group_name_H-M_alt 'I 4 m m'
_space_group_IT_number 107
_space_group_name_Hall 'I 4 -2'
_cell_length_a 6.537
_cell_length_b 6.537
_cell_length_c 8.486
_cell_angle_alpha 90.00
_cell_angle_beta 90.00
_cell_angle_gamma 90.00
loop_
_atom_site_label
_atom_site_type_symbol
_atom_site_fract_x
_atom_site_fract_y
_atom_site_fract_z
Ac1 Ac 0.000 0.500 0.000
Hg1 Hg 0.000 0.000 0.311
Pd1 Pd 0.000 0.000 0.984
Pd2 Pd 0.211 0.211 0.743
```

Values from the calculation:
The calculation puts the total DFT energy (no corrections) at -39.559 eV/f.u. The value obtained for the formation energy is -0.635 eV/atom.